No. 1
# GGA-PBE Tb5Ge6, relaxed
# **Energy of formation**: -0.79 eV per atom
# **Energy**: -0.199 hartree per atom
data_Tb5Ge6
_symmetry_space_group_name_H-M 'C m m m'
_symmetry_Int_Tables_number 65
_symmetry_space_group_name_Hall '-C 2 2'
_cell_length_a 4.006
_cell_length_b 29.234
_cell_length_c 4.273
_cell_angle_alpha 90.00
_cell_angle_beta 90.00
_cell_angle_gamma 90.00
loop_
_atom_site_label
_atom_site_fract_x
_atom_site_fract_y
_atom_site_fract_z
_atom_site_occupancy
Tb1 0.000 0.000 0.000 1
Tb2 0.000 0.199 0.500 1
Tb3 0.000 0.385 0.000 1
Ge1 0.000 0.100 0.500 1
Ge2 0.000 0.281 0.000 1
Ge3 0.000 0.458 0.500 1



No. 2
# GGA-PBE Tb3Ge4, relaxed
# **Energy of formation**: -0.80 eV per atom
# **Energy**: -0.199 hartree per atom
data_Tb3Ge4
_symmetry_space_group_name_H-M 'C m c m'
_symmetry_Int_Tables_number 63
_symmetry_space_group_name_Hall '-C 2c 2'
_cell_length_a 4.088
_cell_length_b 10.751
_cell_length_c 14.334
_cell_angle_alpha 90.00
_cell_angle_beta 90.00
_cell_angle_gamma 90.00
loop_
_atom_site_label
_atom_site_fract_x
_atom_site_fract_y
_atom_site_fract_z
_atom_site_occupancy
Tb1 0.000 0.043 0.250 1
Tb2 0.000 0.329 0.097 1
Ge1 0.000 0.000 0.000 1
Ge2 0.000 0.229 0.750 1
Ge3 0.000 0.382 0.608 1



No. 3
# GGA-PBE Tb2Ge, relaxed
# **Energy of formation**: -0.57 eV per atom
# **Energy**: -0.191 hartree per atom
data_Tb2Ge
_symmetry_space_group_name_H-M 'I m m m'
_symmetry_Int_Tables_number 71
_symmetry_space_group_name_Hall '-I 2 2'
_cell_length_a 4.253
_cell_length_b 6.261
_cell_length_c 12.006
_cell_angle_alpha 90.00
_cell_angle_beta 90.00
_cell_angle_gamma 90.00
loop_
_atom_site_label
_atom_site_fract_x
_atom_site_fract_y
_atom_site_fract_z
_atom_site_occupancy
Tb1 0.000 0.000 0.196 1
Tb2 0.000 0.232 0.500 1
Ge1 0.000 0.500 0.142 1



No. 4
# GGA-PBE Tb5Ge3, relaxed
# **Energy of formation**: -0.79 eV per atom
# **Energy**: -0.199 hartree per atom
data_Tb5Ge3
_symmetry_space_group_name_H-M 'P 63/m c m'
_symmetry_Int_Tables_number 193
_symmetry_space_group_name_Hall '-P 6c 2'
_cell_length_a 8.5559
_cell_length_b 8.5559
_cell_length_c 6.4625
_cell_angle_alpha 90.00
_cell_angle_beta 90.00
_cell_angle_gamma 120.00
loop_
_atom_site_label
_atom_site_fract_x
_atom_site_fract_y
_atom_site_fract_z
_atom_site_occupancy
Tb1 0.0000 0.2420 0.2500 1
Tb2 0.3333 0.6667 0.0000 1
Ge1 0.0000 0.3938 0.7500 1



No. 5
# GGA-PBE Tb11Ge10, relaxed
# **Energy of formation**: -0.85 eV per atom
# **Energy**: -0.201 hartree per atom
data_Tb11Ge10
_symmetry_space_group_name_H-M 'I 4/m m m'
_symmetry_Int_Tables_number 139
_symmetry_space_group_name_Hall '-I 4 2'
_cell_length_a 10.963
_cell_length_b 10.963
_cell_length_c 16.592
_cell_angle_alpha 90.00
_cell_angle_beta 90.00
_cell_angle_gamma 90.00
loop_
_atom_site_label
_atom_site_fract_x
_atom_site_fract_y
_atom_site_fract_z
_atom_site_occupancy
Tb1 0.000 0.000 0.160 1
Tb2 0.000 0.252 0.310 1
Tb3 0.000 0.323 0.102 1
Tb4 0.177 0.177 0.500 1
Ge1 0.000 0.000 0.389 1
Ge2 0.000 0.362 0.500 1
Ge3 0.000 0.500 0.250 1
Ge4 0.120 0.120 0.000 1
Ge5 0.209 0.209 0.182 1



No. 6
# GGA-PBE TbGe6, relaxed
# **Energy of formation**: 0.27 eV per atom
# **Energy**: -0.160 hartree per atom
data_TbGe6
_symmetry_space_group_name_H-M 'I m -3 m'
_symmetry_Int_Tables_number 229
_symmetry_space_group_name_Hall '-I 4 2 3'
_cell_length_a 7.043
_cell_length_b 7.043
_cell_length_c 7.043
_cell_angle_alpha 90.00
_cell_angle_beta 90.00
_cell_angle_gamma 90.00
loop_
_atom_site_label
_atom_site_fract_x
_atom_site_fract_y
_atom_site_fract_z
_atom_site_occupancy
Tb1 0.000 0.000 0.000 1
Ge1 0.000 0.250 0.500 1



No. 7
# GGA-PBE Tb5Ge4, relaxed
# **Energy of formation**: -0.80 eV per atom
# **Energy**: -0.200 hartree per atom
# **Relative energy among the computed polymorphs**: 54 meV per atom
data_Tb5Ge4
_symmetry_space_group_name_H-M 'C 1 2/m 1'
_symmetry_Int_Tables_number 12
_cell_length_a 10.872
_cell_length_b 4.333
_cell_length_c 9.948
_cell_angle_alpha 90.00
_cell_angle_beta 112.12
_cell_angle_gamma 90.00
loop_
_symmetry_equiv_pos_as_xyz
'x,y,z'
'-x,-y,-z'
'-x,y,-z'
'x,-y,z'
'x+1/2,y+1/2,z'
'-x+1/2,-y+1/2,-z'
'-x+1/2,y+1/2,-z'
'x+1/2,-y+1/2,z'
loop_
_atom_site_label
_atom_site_fract_x
_atom_site_fract_y
_atom_site_fract_z
_atom_site_occupancy
Tb1 0.000 0.000 0.000 1
Tb2 0.098 0.000 0.391 1
Tb3 0.246 0.000 0.831 1
Ge1 0.046 0.500 0.833 1
Ge2 0.130 0.500 0.610 1



No. 8
# GGA-PBE TbGe3, relaxed
# **Energy of formation**: -0.46 eV per atom
# **Energy**: -0.187 hartree per atom
data_TbGe3
_symmetry_space_group_name_H-M 'C m c m'
_symmetry_Int_Tables_number 63
_symmetry_space_group_name_Hall '-C 2c 2'
_cell_length_a 4.046
_cell_length_b 21.059
_cell_length_c 3.934
_cell_angle_alpha 90.00
_cell_angle_beta 90.00
_cell_angle_gamma 90.00
loop_
_atom_site_label
_atom_site_fract_x
_atom_site_fract_y
_atom_site_fract_z
_atom_site_occupancy
Tb1 0.000 0.082 0.250 1
Ge1 0.000 0.191 0.750 1
Ge2 0.000 0.311 0.750 1
Ge3 0.000 0.461 0.250 1



- Look up the energy of formation of the third one.
  -0.57 eV per atom